No. 1
Entry from Alexandria: RbMn2TlBr6 after structural relaxation (PBE).

```
20
Lattice="-5.572 0.573 -8.497 2.854 -9.104 -3.544 -5.496 -2.148 5.153" Properties=species:S:1:pos:R:3 pbc="T T T"
Rb -8.176 -2.781 -3.740
Rb -0.038 -7.897 -3.148
Br -6.171 -5.782 -4.492
Br -5.315 -8.050 -7.994
Br -6.421 -4.098 -0.777
Br -1.793 -6.580 -6.110
Br -3.193 -9.340 -3.159
Br -0.729 -0.891 -1.811
Br -3.509 -7.305 1.353
Br -2.899 -2.629 1.106
Br -5.021 -1.338 -3.729
Br -2.043 -4.896 -2.395
Br -7.485 -9.788 -5.077
Br -4.705 -3.373 -8.240
Mn -5.486 -2.565 0.905
Mn -6.983 -7.456 -6.103
Mn -1.231 -3.222 -0.785
Mn -2.728 -8.113 -7.793
Tl -4.655 -6.825 -1.670
Tl -3.559 -3.854 -5.218
```

## Properties
raw total energy: -83.349 eV for the cell shown
magnetization: 20.000 μB per cell
raw formation energy: -0.996 eV per atom

---

No. 2
Entry from Alexandria: Y2CuTeAu after structural relaxation (PBE).

```
5
Lattice="5.535 0.000 0.000 0.000 5.321 0.000 0.000 0.000 5.535" Properties=species:S:1:pos:R:3 pbc="T T T"
Y 0.000 0.000 2.767
Y 2.767 0.000 0.000
Cu 2.767 2.660 2.767
Au 0.000 0.000 0.000
Te 0.000 2.660 0.000
```

## Properties
raw total energy: -22.225 eV for the cell shown
magnetization: 0.000 μB per cell
raw formation energy: 0.244 eV per atom

---

What is the formula in the second record?
Y2CuTeAu